[1]
## BaIn2Te (PBE-GGA)

Data for a geometry-optimized BaIn2Te structure.

Calculated values
space group = I-4m2 (119)
total energy = -3.193 eV per atom

Lattice parameters (Å, degrees): 5.0682 5.0682 10.3610 90.00 90.00 90.00
Fractional positions:
Ba  0.0000  0.0000  0.0000
Ba  0.5000  0.5000  0.5000
In  0.0000  0.0000  0.5000
In  0.0000  0.5000  0.7500
In  0.5000  0.0000  0.2500
In  0.5000  0.5000  0.0000
Te  0.0000  0.5000  0.2500
Te  0.5000  0.0000  0.7500

---

[2]
## SrCu3Re (PBE-GGA)

Data for a geometry-optimized SrCu3Re structure.

Calculated values
space group = Pm-3m (221)
calculated formation energy = 2.3753 eV/atom
excess energy over the best structure of this formula in the dataset = 806 kJ/mol of formula units

Lattice parameters (Å, degrees): 4.6950 4.6950 4.6950 90.00 90.00 90.00
Fractional positions:
Sr  0.0000  0.0000  0.0000
Cu  0.0000  0.0000  0.5000
Cu  0.0000  0.5000  0.0000
Cu  0.5000  0.0000  0.0000
Re  0.5000  0.5000  0.5000

---

[3]
## SrSeI (PBE-GGA)

Data for a geometry-optimized SrSeI structure.

Calculated values
space group = C2/m (12)
excess energy over the best structure of this formula in the dataset = 1 kJ/mol of formula units

Lattice parameters (Å, degrees): 9.7035 4.3576 11.4197 90.00 97.83 90.00
Fractional positions:
Sr  0.0008  0.0000  0.3180
Sr  0.4992  0.5000  0.6820
Sr  0.5008  0.5000  0.3180
Sr  0.9992  0.0000  0.6820
Se  0.1270  0.5000  0.5171
Se  0.3730  0.0000  0.4829
Se  0.6270  0.0000  0.5171
Se  0.8730  0.5000  0.4829
I  0.1687  0.5000  0.1680
I  0.3313  0.0000  0.8320
I  0.6687  0.0000  0.1680
I  0.8313  0.5000  0.8320

---

[4]
## Mn2CrTc (PBE-GGA)

Data for a geometry-optimized Mn2CrTc structure.

Calculated values
space group = P4mm (99)
calculated formation energy = 0.0898 eV/atom
excess energy over the best structure of this formula in the dataset = 2 kJ/mol of formula units

Lattice parameters (Å, degrees): 2.9308 2.9308 5.7694 90.00 90.00 90.00
Fractional positions:
Mn  0.0000  0.0000  0.0000
Mn  0.5000  0.5000  0.2600
Cr  0.5000  0.5000  0.7895
Tc  0.0000  0.0000  0.5018

---

[5]
## LaNiHg3 (PBE-GGA)

Data for a geometry-optimized LaNiHg3 structure.

Calculated values
space group = Pm-3m (221)
calculated formation energy = 1.0192 eV/atom
excess energy over the best structure of this formula in the dataset = 567 kJ/mol of formula units

Lattice parameters (Å, degrees): 6.0528 6.0528 6.0528 90.00 90.00 90.00
Fractional positions:
La  0.0000  0.0000  0.0000
Ni  0.5000  0.5000  0.5000
Hg  0.0000  0.0000  0.5000
Hg  0.0000  0.5000  0.0000
Hg  0.5000  0.0000  0.0000

---

[6]
## KYRu3 (PBE-GGA)

Data for a geometry-optimized KYRu3 structure.

Calculated values
space group = Pm-3m (221)
calculated formation energy = 1.7693 eV/atom
excess energy over the best structure of this formula in the dataset = 0 kJ/mol of formula units

Lattice parameters (Å, degrees): 5.0958 5.0958 5.0958 90.00 90.00 90.00
Fractional positions:
K  0.0000  0.0000  0.0000
Y  0.5000  0.5000  0.5000
Ru  0.0000  0.5000  0.5000
Ru  0.5000  0.0000  0.5000
Ru  0.5000  0.5000  0.0000

---

[7]
## Cd2Pb2Au (PBE-GGA)

Data for a geometry-optimized Cd2Pb2Au structure.

Calculated values
space group = P-1 (2)
calculated formation energy = -0.0110 eV/atom
excess energy over the best structure of this formula in the dataset = 0 kJ/mol of formula units

Lattice parameters (Å, degrees): 3.4527 6.1675 6.4022 85.77 89.74 75.80
Fractional positions:
Cd  0.0882  0.3291  0.1840
Cd  0.9118  0.6709  0.8160
Pb  0.1854  0.1325  0.7412
Pb  0.8146  0.8675  0.2588
Au  0.5000  0.5000  0.5000

---

[8]
## Ca3CoPd (PBE-GGA)

Data for a geometry-optimized Ca3CoPd structure.

Calculated values
space group = Pm-3m (221)
calculated formation energy = 0.1869 eV/atom
excess energy over the best structure of this formula in the dataset = 0 kJ/mol of formula units

Lattice parameters (Å, degrees): 5.1656 5.1656 5.1656 90.00 90.00 90.00
Fractional positions:
Ca  0.0000  0.0000  0.5000
Ca  0.0000  0.5000  0.0000
Ca  0.5000  0.0000  0.0000
Co  0.0000  0.0000  0.0000
Pd  0.5000  0.5000  0.5000

---

[9]
## Pr4Ho2Cd (PBE-GGA)

Data for a geometry-optimized Pr4Ho2Cd structure.

Calculated values
space group = C2/m (12)
calculated formation energy = 0.0275 eV/atom

Lattice parameters (Å, degrees): 16.8569 3.5835 8.7093 90.00 117.32 90.00
Fractional positions:
Pr  0.0835  0.0000  0.2053
Pr  0.1319  0.5000  0.8892
Pr  0.3681  0.0000  0.1108
Pr  0.4165  0.5000  0.7947
Pr  0.5835  0.5000  0.2053
Pr  0.6319  0.0000  0.8892
Pr  0.8681  0.5000  0.1108
Pr  0.9165  0.0000  0.7947
Ho  0.2170  0.0000  0.6380
Ho  0.2830  0.5000  0.3620
Ho  0.7170  0.5000  0.6380
Ho  0.7830  0.0000  0.3620
Cd  0.0000  0.0000  0.5000
Cd  0.5000  0.5000  0.5000

---

[10]
## La3Mg5 (PBE-GGA)

Data for a geometry-optimized La3Mg5 structure.

Calculated values
space group = P-1 (2)
calculated formation energy = -0.0505 eV/atom
excess energy over the best structure of this formula in the dataset = 20 kJ/mol of formula units

Lattice parameters (Å, degrees): 5.7805 9.0435 9.0665 86.87 81.43 81.48
Fractional positions:
La  0.2087  0.4697  0.3099
La  0.2511  0.0580  0.4398
La  0.2887  0.1924  0.0335
La  0.7113  0.8076  0.9665
La  0.7489  0.9420  0.5602
La  0.7913  0.5303  0.6901
Mg  0.1678  0.8205  0.1796
Mg  0.2306  0.9210  0.8018
Mg  0.2515  0.5703  0.9281
Mg  0.2705  0.6980  0.5824
Mg  0.3348  0.3154  0.6797
Mg  0.6652  0.6846  0.3203
Mg  0.7295  0.3020  0.4176
Mg  0.7485  0.4297  0.0719
Mg  0.7694  0.0790  0.1982
Mg  0.8322  0.1795  0.8204

---

[11]
## CsAl2I (PBE-GGA)

Data for a geometry-optimized CsAl2I structure.

Calculated values
space group = Fm-3m (225)
excess energy over the best structure of this formula in the dataset = 186 kJ/mol of formula units

Lattice parameters (Å, degrees): 8.3345 8.3345 8.3345 90.00 90.00 90.00
Fractional positions:
Cs  0.0000  0.0000  0.0000
Cs  0.0000  0.5000  0.5000
Cs  0.5000  0.0000  0.5000
Cs  0.5000  0.5000  0.0000
Al  0.2500  0.2500  0.2500
Al  0.2500  0.2500  0.7500
Al  0.2500  0.7500  0.2500
Al  0.2500  0.7500  0.7500
Al  0.7500  0.2500  0.2500
Al  0.7500  0.2500  0.7500
Al  0.7500  0.7500  0.2500
Al  0.7500  0.7500  0.7500
I  0.0000  0.0000  0.5000
I  0.0000  0.5000  0.0000
I  0.5000  0.0000  0.0000
I  0.5000  0.5000  0.5000

---

[12]
## HfFeRh3 (PBE-GGA)

Data for a geometry-optimized HfFeRh3 structure.

Calculated values
space group = Pm-3m (221)
calculated formation energy = 1.0475 eV/atom
excess energy over the best structure of this formula in the dataset = 308 kJ/mol of formula units

Lattice parameters (Å, degrees): 4.7186 4.7186 4.7186 90.00 90.00 90.00
Fractional positions:
Hf  0.0000  0.0000  0.0000
Fe  0.5000  0.5000  0.5000
Rh  0.0000  0.0000  0.5000
Rh  0.0000  0.5000  0.0000
Rh  0.5000  0.0000  0.0000

---

| no. | total moment (μB/f.u.) | calculated density (g/cm3) |
| --- | --- | --- |
| 1 | 0.0 | 6.17 |
| 2 | 0.0 | 7.45 |
| 3 | 0.0 | 4.08 |
| 4 | 2.2 | 8.71 |
| 5 | 0.7 | 5.99 |
| 6 | 4.3 | 5.41 |
| 7 | 0.0 | 10.54 |
| 8 | 0.0 | 3.44 |
| 9 | 0.0 | 7.15 |
| 10 | 0.0 | 3.86 |
| 11 | 0.0 | 3.60 |
| 12 | 4.2 | 8.58 |